A plane-wave DFT calculation with GGA-PBE was carried out for Cu8HgPd6 after structural relaxation.

The calculation puts the spin magnetization at 0.000 μB/atom. The calculation puts the formation energy at 0.059 eV per atom. The value obtained for the calculated density is 10.0 g cm⁻³.

The structure belongs to space group R-3 (No. 148, hexagonal axes); the cell edges are 7.0985, 7.0985 and 15.3511 Å and the angles 90.00°, 90.00° and 120.00°. The asymmetric unit holds Cu at (0.0000, 0.0000, 0.2362), Cu at (0.0071, 0.6829, 0.8652), Hg at (0.0000, 0.0000, 0.0000) and Pd at (0.0196, 0.2444, 0.6264).